one | A relaxed structure of Na2TaNb. Source: Alexandria, functional GGA-PBE.

a = 8.4224 Å, b = 8.4224 Å, c = 5.0898 Å
α = 90.00°, β = 90.00°, γ = 90.00°
Closest atoms and distances in Å follow each position.
Space group I-42d (No. 122)
Asymmetric unit:
1 Na 0.2468 0.2500 0.1250 (multiplicity 8)  2 Na 2.55
2 Ta 0.0000 0.0000 0.5000 (multiplicity 4)  2 Nb 2.54
3 Nb 0.0000 0.0000 0.0000 (multiplicity 4)  2 Ta 2.54

two | A relaxed structure of Na2TaNb. Source: Alexandria, functional GGA-PBE.

a = 6.8652 Å, b = 6.8652 Å, c = 6.8652 Å
α = 90.00°, β = 90.00°, γ = 90.00°
Closest atoms and distances in Å follow each position.
Space group Fm-3m (No. 225)
Asymmetric unit:
1 Na 0.2500 0.2500 0.2500 (multiplicity 8)  4 Ta 2.97, 4 Nb 2.97
2 Ta 0.0000 0.0000 0.0000 (multiplicity 4)  8 Na 2.97
3 Nb 0.0000 0.0000 0.5000 (multiplicity 4)  8 Na 2.97

The least stable of them is two.

one | A relaxed structure of NaNb2Tc2. Source: Alexandria, functional GGA-PBE.

a = 7.8063 Å, b = 7.8063 Å, c = 3.0153 Å
α = 90.00°, β = 90.00°, γ = 90.00°
Closest atoms and distances in Å follow each position.
Space group P4/mbm (No. 127)
Asymmetric unit:
1 Na 0.0000 0.0000 0.0000 (multiplicity 2)  4 Nb 3.01, 2 Na 3.02, 8 Tc 3.35
2 Nb 0.1419 0.3581 0.0000 (multiplicity 4)  6 Tc 2.71-2.78, 2 Na 3.01, 2 Nb 3.02
3 Tc 0.1467 0.6467 0.5000 (multiplicity 4)  6 Nb 2.71-2.78, 2 Tc 3.02

two | A relaxed structure of NaNb2Tc2. Source: Alexandria, functional GGA-PBE.

a = 4.1649 Å, b = 4.1649 Å, c = 12.2647 Å
α = 90.00°, β = 90.00°, γ = 90.00°
Closest atoms and distances in Å follow each position.
Space group I4/mmm (No. 139)
Asymmetric unit:
1 Na 0.0000 0.0000 0.0000 (multiplicity 2)  8 Nb 3.34, 8 Tc 3.71
2 Nb 0.0000 0.0000 0.3709 (multiplicity 4)  4 Tc 2.56
3 Tc 0.0000 0.5000 0.2500 (multiplicity 4)  4 Nb 2.56

The least stable of them is two.

one | A relaxed structure of NaNbTe3. Source: Alexandria, functional GGA-PBE.

a = 5.4947 Å, b = 5.4947 Å, c = 5.4947 Å
α = 90.00°, β = 90.00°, γ = 90.00°
Closest atoms and distances in Å follow each position.
Space group Pm-3m (No. 221)
Asymmetric unit:
1 Na 0.0000 0.0000 0.0000 (multiplicity 1)  12 Te 3.89
2 Nb 0.5000 0.5000 0.5000 (multiplicity 1)  6 Te 2.75
3 Te 0.0000 0.5000 0.5000 (multiplicity 3)  2 Nb 2.75

two | A relaxed structure of NaNbTe3. Source: Alexandria, functional GGA-PBE.

a = 13.0532 Å, b = 14.1991 Å, c = 6.3703 Å
α = 90.00°, β = 91.51°, γ = 90.00°
Closest atoms and distances in Å follow each position.
Space group C2/c (No. 15)
Asymmetric unit:
1 Na 0.1417 0.0823 0.0911 (multiplicity 8)  6 Te 3.15-3.51
2 Nb 0.0000 0.3293 0.7500 (multiplicity 4)  6 Te 2.71-2.98
3 Nb 0.0000 0.4413 0.2500 (multiplicity 4)  6 Te 2.80-2.87
4 Te 0.0835 0.1451 0.6078 (multiplicity 8)  1 Te 2.87, 1 Nb 2.98
5 Te 0.1318 0.3038 0.0939 (multiplicity 8)  2 Nb 2.77-2.80
6 Te 0.1502 0.4338 0.5808 (multiplicity 8)  3 Nb 2.71-2.87

The least stable of them is one.

one | A relaxed structure of NaNb3Te. Source: Alexandria, functional GGA-PBE.

a = 4.7703 Å, b = 4.7703 Å, c = 4.7703 Å
α = 90.00°, β = 90.00°, γ = 90.00°
Closest atoms and distances in Å follow each position.
Space group Pm-3m (No. 221)
Asymmetric unit:
1 Na 0.0000 0.0000 0.0000 (multiplicity 1)  6 Nb 2.39
2 Nb 0.0000 0.0000 0.5000 (multiplicity 3)  2 Na 2.39
3 Te 0.5000 0.5000 0.5000 (multiplicity 1)  12 Nb 3.37

two | A relaxed structure of NaNb3Te. Source: Alexandria, functional GGA-PBE.

a = 5.1276 Å, b = 5.1276 Å, c = 5.1276 Å
α = 90.00°, β = 90.00°, γ = 90.00°
Closest atoms and distances in Å follow each position.
Space group Pm-3m (No. 221)
Asymmetric unit:
1 Na 0.0000 0.0000 0.0000 (multiplicity 1)  12 Nb 3.63
2 Nb 0.0000 0.5000 0.5000 (multiplicity 3)  2 Te 2.56
3 Te 0.5000 0.5000 0.5000 (multiplicity 1)  6 Nb 2.56

The least stable of them is one.

one | A relaxed structure of Na3NbTe. Source: Alexandria, functional GGA-PBE.

a = 5.7684 Å, b = 5.7684 Å, c = 5.7684 Å
α = 90.00°, β = 90.00°, γ = 90.00°
Closest atoms and distances in Å follow each position.
Space group Pm-3m (No. 221)
Asymmetric unit:
1 Na 0.0000 0.0000 0.5000 (multiplicity 3)  2 Nb 2.88
2 Nb 0.0000 0.0000 0.0000 (multiplicity 1)  6 Na 2.88
3 Te 0.5000 0.5000 0.5000 (multiplicity 1)  12 Na 4.08

two | A relaxed structure of Na3NbTe. Source: Alexandria, functional GGA-PBE.

a = 5.8459 Å, b = 5.8459 Å, c = 5.8459 Å
α = 90.00°, β = 90.00°, γ = 90.00°
Closest atoms and distances in Å follow each position.
Space group Pm-3m (No. 221)
Asymmetric unit:
1 Na 0.0000 0.0000 0.5000 (multiplicity 3)  2 Te 2.92
2 Nb 0.5000 0.5000 0.5000 (multiplicity 1)  12 Na 4.13
3 Te 0.0000 0.0000 0.0000 (multiplicity 1)  6 Na 2.92

The least stable of them is one.

one | A relaxed structure of NaTiNb2. Source: Alexandria, functional GGA-PBE.

a = 6.6559 Å, b = 6.6559 Å, c = 6.6559 Å
α = 90.00°, β = 90.00°, γ = 90.00°
Closest atoms and distances in Å follow each position.
Space group Fm-3m (No. 225)
Asymmetric unit:
1 Na 0.0000 0.0000 0.0000 (multiplicity 4)  8 Nb 2.88
2 Ti 0.0000 0.0000 0.5000 (multiplicity 4)  8 Nb 2.88
3 Nb 0.2500 0.2500 0.2500 (multiplicity 8)  4 Ti 2.88, 4 Na 2.88

two | A relaxed structure of NaTiNb2. Source: Alexandria, functional GGA-PBE.

a = 3.9671 Å, b = 3.9671 Å, c = 20.0827 Å
α = 90.00°, β = 90.00°, γ = 90.00°
Closest atoms and distances in Å follow each position.
Space group I-42d (No. 122)
Asymmetric unit:
1 Na 0.0000 0.0000 0.0000 (multiplicity 4)  4 Ti 2.81, 4 Nb 2.90
2 Ti 0.0000 0.0000 0.5000 (multiplicity 4)  4 Na 2.81, 4 Nb 2.85
3 Nb 0.2321 0.7500 0.6250 (multiplicity 8)  4 Nb 2.71-2.91, 2 Ti 2.85, 2 Na 2.90

The least stable of them is two.

one | A relaxed structure of Na2TiNb. Source: Alexandria, functional GGA-PBE.

a = 8.4021 Å, b = 8.4021 Å, c = 5.0159 Å
α = 90.00°, β = 90.00°, γ = 90.00°
Closest atoms and distances in Å follow each position.
Space group I-42d (No. 122)
Asymmetric unit:
1 Na 0.2425 0.2500 0.1250 (multiplicity 8)  2 Na 2.51
2 Ti 0.0000 0.0000 0.0000 (multiplicity 4)  2 Nb 2.51
3 Nb 0.0000 0.0000 0.5000 (multiplicity 4)  2 Ti 2.51

two | A relaxed structure of Na2TiNb. Source: Alexandria, functional GGA-PBE.

a = 6.9497 Å, b = 6.9497 Å, c = 6.9497 Å
α = 90.00°, β = 90.00°, γ = 90.00°
Closest atoms and distances in Å follow each position.
Space group Fm-3m (No. 225)
Asymmetric unit:
1 Na 0.2500 0.2500 0.2500 (multiplicity 8)  4 Nb 3.01, 4 Ti 3.01
2 Ti 0.0000 0.0000 0.0000 (multiplicity 4)  8 Na 3.01
3 Nb 0.0000 0.0000 0.5000 (multiplicity 4)  8 Na 3.01

The least stable of them is two.

one | A relaxed structure of Na2TiNb2. Source: Alexandria, functional GGA-PBE.

a = 3.7465 Å, b = 3.7465 Å, c = 15.5367 Å
α = 90.00°, β = 90.00°, γ = 90.00°
Closest atoms and distances in Å follow each position.
Space group I4/mmm (No. 139)
Asymmetric unit:
1 Na 0.0000 0.5000 0.2500 (multiplicity 4)  4 Na 2.65
2 Ti 0.0000 0.0000 0.0000 (multiplicity 2)  8 Nb 2.90
3 Nb 0.0000 0.0000 0.4234 (multiplicity 4)  1 Nb 2.38

two | A relaxed structure of Na2TiNb2. Source: Alexandria, functional GGA-PBE.

a = 8.8854 Å, b = 8.8854 Å, c = 2.7757 Å
α = 90.00°, β = 90.00°, γ = 90.00°
Closest atoms and distances in Å follow each position.
Space group P4/mbm (No. 127)
Asymmetric unit:
1 Na 0.1961 0.3039 0.0000 (multiplicity 4)  2 Na 2.78, 6 Nb 2.93-3.09
2 Ti 0.0000 0.0000 0.5000 (multiplicity 2)  2 Ti 2.78
3 Nb 0.0989 0.5989 0.5000 (multiplicity 4)  3 Nb 2.48-2.78

The least stable of them is two.

one | A relaxed structure of Na2Ti2Nb. Source: Alexandria, functional GGA-PBE.

a = 3.5990 Å, b = 3.5990 Å, c = 16.3648 Å
α = 90.00°, β = 90.00°, γ = 90.00°
Closest atoms and distances in Å follow each position.
Space group I4/mmm (No. 139)
Asymmetric unit:
1 Na 0.0000 0.5000 0.2500 (multiplicity 4)  4 Na 2.54
2 Ti 0.0000 0.0000 0.0784 (multiplicity 4)  1 Ti 2.57, 4 Nb 2.85
3 Nb 0.0000 0.0000 0.5000 (multiplicity 2)  8 Ti 2.85

two | A relaxed structure of Na2Ti2Nb. Source: Alexandria, functional GGA-PBE.

a = 8.2148 Å, b = 8.2148 Å, c = 2.9492 Å
α = 90.00°, β = 90.00°, γ = 90.00°
Closest atoms and distances in Å follow each position.
Space group P4/mbm (No. 127)
Asymmetric unit:
1 Na 0.1661 0.3339 0.0000 (multiplicity 4)  6 Ti 2.74-2.89, 2 Na 2.95
2 Ti 0.1348 0.6348 0.5000 (multiplicity 4)  6 Na 2.74-2.89, 2 Ti 2.95
3 Nb 0.0000 0.0000 0.5000 (multiplicity 2)  2 Nb 2.95, 4 Ti 3.20

The least stable of them is two.

one | A relaxed structure of NaNb2Tl. Source: Alexandria, functional GGA-PBE.

a = 6.8429 Å, b = 6.8429 Å, c = 6.8429 Å
α = 90.00°, β = 90.00°, γ = 90.00°
Closest atoms and distances in Å follow each position.
Space group Fm-3m (No. 225)
Asymmetric unit:
1 Na 0.0000 0.0000 0.0000 (multiplicity 4)  8 Nb 2.96
2 Nb 0.2500 0.2500 0.2500 (multiplicity 8)  4 Tl 2.96, 4 Na 2.96
3 Tl 0.0000 0.0000 0.5000 (multiplicity 4)  8 Nb 2.96

two | A relaxed structure of NaNb2Tl. Source: Alexandria, functional GGA-PBE.

a = 8.0621 Å, b = 8.0621 Å, c = 5.4101 Å
α = 90.00°, β = 90.00°, γ = 90.00°
Closest atoms and distances in Å follow each position.
Space group I-42d (No. 122)
Asymmetric unit:
1 Na 0.0000 0.0000 0.0000 (multiplicity 4)  2 Tl 2.71, 4 Nb 2.99
2 Nb 0.2390 0.7500 0.6250 (multiplicity 8)  2 Nb 2.71, 2 Tl 2.87, 2 Na 2.99
3 Tl 0.0000 0.0000 0.5000 (multiplicity 4)  2 Na 2.71, 4 Nb 2.87

The least stable of them is two.

one | A relaxed structure of NaNb3Tl. Source: Alexandria, functional GGA-PBE.

a = 4.7364 Å, b = 4.7364 Å, c = 4.7364 Å
α = 90.00°, β = 90.00°, γ = 90.00°
Closest atoms and distances in Å follow each position.
Space group Pm-3m (No. 221)
Asymmetric unit:
1 Na 0.0000 0.0000 0.0000 (multiplicity 1)  6 Nb 2.37
2 Nb 0.0000 0.0000 0.5000 (multiplicity 3)  2 Na 2.37
3 Tl 0.5000 0.5000 0.5000 (multiplicity 1)  12 Nb 3.35

two | A relaxed structure of NaNb3Tl. Source: Alexandria, functional GGA-PBE.

a = 5.2274 Å, b = 5.2274 Å, c = 5.2274 Å
α = 90.00°, β = 90.00°, γ = 90.00°
Closest atoms and distances in Å follow each position.
Space group Pm-3m (No. 221)
Asymmetric unit:
1 Na 0.0000 0.0000 0.0000 (multiplicity 1)  12 Nb 3.70
2 Nb 0.0000 0.5000 0.5000 (multiplicity 3)  2 Tl 2.61
3 Tl 0.5000 0.5000 0.5000 (multiplicity 1)  6 Nb 2.61

The least stable of them is two.

one | A relaxed structure of NaNbV2. Source: Alexandria, functional GGA-PBE.

a = 6.4383 Å, b = 6.4383 Å, c = 6.4383 Å
α = 90.00°, β = 90.00°, γ = 90.00°
Closest atoms and distances in Å follow each position.
Space group Fm-3m (No. 225)
Asymmetric unit:
1 Na 0.0000 0.0000 0.0000 (multiplicity 4)  8 V 2.79
2 Nb 0.0000 0.0000 0.5000 (multiplicity 4)  8 V 2.79
3 V 0.2500 0.2500 0.2500 (multiplicity 8)  4 Nb 2.79, 4 Na 2.79

two | A relaxed structure of NaNbV2. Source: Alexandria, functional GGA-PBE.

a = 3.8335 Å, b = 3.8335 Å, c = 18.8541 Å
α = 90.00°, β = 90.00°, γ = 90.00°
Closest atoms and distances in Å follow each position.
Space group I-42d (No. 122)
Asymmetric unit:
1 Na 0.0000 0.0000 0.0000 (multiplicity 4)  4 Nb 2.71, 4 V 2.76
2 Nb 0.0000 0.0000 0.5000 (multiplicity 4)  4 V 2.68, 4 Na 2.71
3 V 0.2196 0.2500 0.6250 (multiplicity 8)  2 V 2.55, 2 Nb 2.68, 2 Na 2.76

The least stable of them is two.